## w
AgRu2Pt | PBE | optimized geometry

POSCAR file:
```
AgRu2Pt
1.0
4.265 0.000 0.000
0.000 2.753 -0.004
0.000 1.395 5.266
Ag Pt Ru
1 1 2
Direct
0.000 0.443 0.486
0.500 0.804 0.769
0.000 0.186 0.005
0.500 0.067 0.240
```

---

## x
AgRu2Pt | PBE | optimized geometry

POSCAR file:
```
AgRu2Pt
1.0
7.285 0.000 0.000
0.000 7.285 0.000
3.643 3.643 2.613
Ru Ag Pt
4 2 2
Direct
0.662 0.125 0.250
0.088 0.625 0.250
0.375 0.338 0.750
0.875 0.912 0.750
0.500 0.500 0.000
0.250 0.750 0.500
0.000 0.000 0.000
0.750 0.250 0.500
```

---

Name the most stable of them. w.